Entry 1:
A relaxed structure of Ce2InBi4, computed with PBE.

Cell lengths 4.6247, 4.6247, 10.5534 Å; angles 90.00, 90.00, 90.00 degrees
Element x y z (fractional)
Ce: 0.5000 0.0000 0.7411
Ce: 0.0000 0.5000 0.2589
In: 0.5000 0.5000 0.0000
Bi: 0.5000 0.0000 0.1906
Bi: 0.0000 0.5000 0.8094
Bi: 0.5000 0.5000 0.5000
Bi: 0.0000 0.0000 0.5000

Properties
The calculated formation energy is -0.45 eV per atom. The calculation puts the calculated total energy at -4.758 eV/atom. The value obtained for the size of the total moment is 0.29 μB/atom. Its energy above the most stable polymorph in this dataset is 0.012 eV per atom. For the density of states at the Fermi level, the calculation gives 1.88 states/eV per atom.

=====

Entry 2:
A relaxed structure of CeInBi, computed with PBE.

Cell lengths 3.4056, 5.4735, 5.4735 Å; angles 120.00, 90.00, 90.00 degrees
Element x y z (fractional)
Bi: 0.1640 0.0000 0.0000
Ce: 0.6667 0.3333 0.6667
In: 0.1692 0.6667 0.3333

Properties
The calculated formation energy is -0.29 eV per atom. The calculation puts the calculated total energy at -4.476 eV/atom. The value obtained for the size of the total moment is 0.44 μB/atom. Its energy above the most stable polymorph in this dataset is 0.186 eV per atom. For the density of states at the Fermi level, the calculation gives 2.59 states/eV per atom.

=====

Entry 3:
A relaxed structure of Ce2In4Bi, computed with PBE.

Cell lengths 6.5047, 6.5047, 6.7438 Å; angles 118.87, 118.87, 89.95 degrees
Element x y z (fractional)
Bi: 0.7857 0.7857 0.5715
Ce: 0.2858 0.7856 0.5714
Ce: 0.7856 0.2858 0.5714
In: 0.7859 0.7859 0.0717
In: 0.2857 0.2857 0.0712
In: 0.7856 0.2857 0.0714
In: 0.2857 0.7856 0.0714

Properties
The calculated formation energy is -0.27 eV per atom. The calculation puts the calculated total energy at -4.082 eV/atom. The value obtained for the size of the total moment is 0.30 μB/atom. For the density of states at the Fermi level, the calculation gives 2.09 states/eV per atom.